Density functional theory data (PBE) for a relaxed Zr5FeAu2 crystal.

a = 7.2384 Å, b = 10.6330 Å, c = 4.2944 Å
α = 90.00°, β = 90.00°, γ = 90.00°
Space group Pbam (No. 55)
Unique sites:
1 Zr 0.0000 0.0000 0.0000 [2 per cell]
2 Zr 0.1406 0.2950 0.0000 [4 per cell]
3 Zr 0.1802 0.5757 0.5000 [4 per cell]
4 Fe 0.0000 0.5000 0.0000 [2 per cell]
5 Au 0.0724 0.8337 0.5000 [4 per cell]

Calculated values
Mass density ... 9.102 g/cm3
Formation energy ... -0.32 eV per atom